VASP calculation (PBE-GGA) on an optimized crystal structure of Tb3YH. Values from VASP.

Cell and atoms, written as Quantum ESPRESSO input:
```
&SYSTEM
  ibrav = 0, nat = 5, ntyp = 3
/
ATOMIC_SPECIES
Tb 158.93 Tb.upf
Y 88.91 Y.upf
H 1.01 H.upf
ATOMIC_POSITIONS angstrom
Tb 0.000 0.000 2.506
Tb 0.000 2.506 0.000
Tb 2.506 0.000 0.000
Y 2.506 2.506 2.506
H 0.000 0.000 0.000
CELL_PARAMETERS angstrom
5.013 0.000 0.000
0.000 5.013 0.000
0.000 0.000 5.013
```

total moment: 0.000 μB per formula unit
E_tot: -4.907 eV/atom
density of states at the Fermi level: 1.016 states/eV/atom
calculated volume: 25.19 Å³/atom